## Y3NbRu4 (PBE)

Data for crystalline Y3NbRu4 at its relaxed geometry.

extended XYZ file:
```
8
Lattice="3.320 0.000 0.000 0.000 3.320 0.000 0.000 0.000 13.665" Properties=species:S:1:pos:R:3 pbc="T T T"
Y 0.000 0.000 0.000
Y 0.000 0.000 3.436
Y 0.000 0.000 10.229
Nb 0.000 0.000 6.832
Ru 1.660 1.660 1.759
Ru 1.660 1.660 5.365
Ru 1.660 1.660 8.300
Ru 1.660 1.660 11.906
```

Values from the calculation:
The formation energy is -0.311 eV per atom. As for the space-group type: P4/mmm. The calculation puts the density of states at the Fermi level at 4.22 states/eV/cell.


## La4Cu2Cl (PBE)

Data for crystalline La4Cu2Cl at its relaxed geometry.

extended XYZ file:
```
7
Lattice="6.667 -2.049 0.000 6.667 2.049 0.000 -5.105 0.000 7.169" Properties=species:S:1:pos:R:3 pbc="T T T"
La -0.829 0.000 2.876
La -0.377 0.000 6.565
La 8.605 0.000 0.604
La 9.058 0.000 4.293
Cu 3.549 0.000 2.333
Cu 4.679 0.000 4.836
Cl 0.000 0.000 0.000
```

Values from the calculation:
The uncorrected formation energy comes out at -51.5 kJ per mole of atoms. As for the space-group type: C2/m. The calculation puts the density of states at the Fermi level at 6.36 states/eV/cell.


## ZnRh3F (PBE)

Data for crystalline ZnRh3F at its relaxed geometry.

extended XYZ file:
```
5
Lattice="4.237 0.000 0.000 0.000 4.237 0.000 0.000 0.000 4.237" Properties=species:S:1:pos:R:3 pbc="T T T"
Zn 0.000 0.000 0.000
Rh 0.000 2.118 2.118
Rh 2.118 0.000 2.118
Rh 2.118 2.118 0.000
F 2.118 2.118 2.118
```

Values from the calculation:
The uncorrected formation energy comes out at 53.4 kJ per mole of atoms. The energy above the lowest structure with this stoichiometry is 0.0 meV per atom. As for the space-group type: Pm-3m. The calculation puts the density of states at the Fermi level at 5.50 states/eV/cell.